Here is a geometry-optimized Rb2TmHCl6 structure from Alexandria. Energies are from GGA-PBE.

abc: 7.201 7.202 7.202
angles: 107.60 110.44 110.33
Space group P-1 (No. 2)
One atom of each set of equivalent atoms:
Rb  0.000  0.250  0.250 x2
Tm  0.500  0.000  0.500 x1
H  0.500  0.500  0.000 x1
Cl  0.059  0.780  0.280 x2
Cl  0.499  0.683  0.183 x2
Cl  0.500  0.221  0.279 x2

Output
* total energy: -38.459 eV per cell
* ρ: 3.198 g/cm³
* crystal system: triclinic